[1]
## AcZnSbAs (PBE)

Data for a relaxed AcZnSbAs crystal.

Results
Raw total energy (eV per atom): -3.901
Fermi-level density of states (states/eV/atom): 0.9143
Uncorrected formation energy (eV/atom): -0.362
SG: No. 216

a b c (Å): 5.2808 5.2808 5.2808
angles (deg): 60.00 60.00 60.00
With the nearest neighbours (Å) after each atom.
Positions (direct):
Sb  0.0000  0.0000  0.0000  4 Zn 3.23, 4 As 3.23
Zn  0.7500  0.7500  0.7500  4 Sb 3.23, 4 Ac 3.23
Ac  0.5000  0.5000  0.5000  4 Zn 3.23, 4 As 3.23
As  0.2500  0.2500  0.2500  4 Ac 3.23, 4 Sb 3.23

=====

[2]
## AcScAs3 (PBE)

Data for a relaxed AcScAs3 crystal.

Results
Raw total energy (eV per atom): -5.598
Fermi-level density of states (states/eV/atom): 0.7202
Formation energy (eV/atom): -0.721
SG: No. 221

a b c (Å): 5.1002 5.1002 5.1002
angles (deg): 90.00 90.00 90.00
With the nearest neighbours (Å) after each atom.
Positions (direct):
Sc  0.0000  0.0000  0.0000  6 As 2.55
As  0.0000  0.0000  0.5000  2 Sc 2.55
As  0.0000  0.5000  0.0000  2 Sc 2.55
As  0.5000  0.0000  0.0000  2 Sc 2.55
Ac  0.5000  0.5000  0.5000  12 As 3.61

=====

[3]
## AcScAs (PBE)

Data for a relaxed AcScAs crystal.

Results
Raw total energy (eV per atom): -5.756
Fermi-level density of states (states/eV/atom): 1.0772
Formation energy (eV/atom): -0.726
SG: No. 14

a b c (Å): 6.6261 6.3003 8.9539
angles (deg): 87.71 90.00 90.00
With the nearest neighbours (Å) after each atom.
Positions (direct):
As  0.4669  0.1710  0.6466  3 Sc 2.68-2.75
Sc  0.2267  0.1098  0.4078  3 As 2.68-2.75
Ac  0.7771  0.3698  0.8637  3 As 3.13-3.26
Ac  0.2771  0.6302  0.6363  3 As 3.13-3.26
As  0.9669  0.8290  0.8534  3 Sc 2.68-2.75
Sc  0.2733  0.1098  0.9078  3 As 2.68-2.75
As  0.0331  0.1710  0.1466  3 Sc 2.68-2.75
Ac  0.2229  0.6302  0.1363  3 As 3.13-3.26
Sc  0.7267  0.8902  0.0922  3 As 2.68-2.75
As  0.5331  0.8290  0.3534  3 Sc 2.68-2.75
Sc  0.7733  0.8902  0.5922  3 As 2.68-2.75
Ac  0.7229  0.3698  0.3637  3 As 3.13-3.26

=====

[4]
## Ac2ScAs2Se2 (PBE)

Data for a relaxed Ac2ScAs2Se2 crystal.

Results
Raw total energy (eV per atom): -5.847
Fermi-level density of states (states/eV/atom): 0.2756
Uncorrected formation energy (eV/atom): -1.444
SG: No. 139

a b c (Å): 4.9887 4.9887 8.8785
angles (deg): 106.32 106.32 90.00
With the nearest neighbours (Å) after each atom.
Positions (direct):
As  0.0000  0.5000  0.0000  2 Sc 2.49
Se  0.1763  0.1763  0.3525  1 Sc 2.87, 1 Ac 3.06
As  0.5000  0.0000  0.0000  2 Sc 2.49
Se  0.8237  0.8237  0.6475  1 Sc 2.87, 1 Ac 3.06
Ac  0.6360  0.6360  0.2720  1 Se 3.06, 4 As 3.34
Ac  0.3640  0.3640  0.7280  1 Se 3.06, 4 As 3.34
Sc  0.0000  0.0000  0.0000  4 As 2.49

=====

[5]
## AcAsSe3 (PBE)

Data for a relaxed AcAsSe3 crystal.

Results
Raw total energy (eV per atom): -4.919
Fermi-level density of states (states/eV/atom): 0.0000
Uncorrected formation energy (eV/atom): -1.076
SG: No. 14
Energy above the most stable polymorph in this dataset (meV per atom): 8

a b c (Å): 9.4488 9.9361 8.3426
angles (deg): 90.00 90.00 120.24
With the nearest neighbours (Å) after each atom.
Positions (direct):
Se  0.2870  0.9953  0.4920  1 As 2.55
Se  0.4410  0.3665  0.6978  1 As 2.44
Ac  0.0539  0.1179  0.7223  7 Se 3.12-3.34
As  0.8951  0.2799  0.0812  3 Se 2.42-2.55
Se  0.7130  0.0047  0.5080  1 As 2.55
Ac  0.5539  0.1179  0.7777  7 Se 3.12-3.34
Se  0.7870  0.9953  0.0080  1 As 2.55
Se  0.2130  0.0047  0.9920  1 As 2.55
Se  0.3761  0.7591  0.8703  1 As 2.42
Se  0.5590  0.6335  0.3022  1 As 2.44
As  0.1049  0.7201  0.9188  3 Se 2.42-2.55
Se  0.6239  0.2409  0.1297  1 As 2.42
Ac  0.4461  0.8821  0.2223  7 Se 3.12-3.34
Se  0.9410  0.3665  0.8022  1 As 2.44
As  0.6049  0.7201  0.5812  3 Se 2.42-2.55
Se  0.1239  0.2409  0.3703  1 As 2.42
As  0.3951  0.2799  0.4188  3 Se 2.42-2.55
Se  0.8761  0.7591  0.6297  1 As 2.42
Se  0.0590  0.6335  0.1978  1 As 2.44
Ac  0.9461  0.8821  0.2777  7 Se 3.12-3.34

=====

[6]
## Ac5As4Se (PBE)

Data for a relaxed Ac5As4Se crystal.

Results
Raw total energy (eV per atom): -5.866
Fermi-level density of states (states/eV/atom): 0.2886
Uncorrected formation energy (eV/atom): -1.603
SG: No. 71

a b c (Å): 4.5370 6.4081 12.0079
angles (deg): 105.48 100.89 90.00
With the nearest neighbours (Å) after each atom.
Positions (direct):
Ac  0.8001  0.3001  0.6002  6 As 3.20-3.23
Ac  0.1999  0.6999  0.3998  6 As 3.20-3.23
As  0.8005  0.8005  0.6011  6 Ac 3.14-3.22
As  0.4014  0.4014  0.8029  6 Ac 3.19-3.23
As  0.5986  0.5986  0.1971  6 Ac 3.19-3.23
Ac  0.0000  0.5000  0.0000  4 As 3.19, 2 Se 3.20
Se  0.0000  0.0000  0.0000  6 Ac 3.20-3.27
Ac  0.6039  0.1039  0.2078  4 As 3.14-3.21, 2 Se 3.27
Ac  0.3961  0.8961  0.7922  4 As 3.14-3.21, 2 Se 3.27
As  0.1995  0.1995  0.3989  6 Ac 3.14-3.22

=====

[7]
## Ac2AsSe (PBE)

Data for a relaxed Ac2AsSe crystal.

Results
Raw total energy (eV per atom): -5.520
Fermi-level density of states (states/eV/atom): 0.6694
Uncorrected formation energy (eV/atom): -1.433
SG: No. 123
Energy above the most stable polymorph in this dataset (meV per atom): 303

a b c (Å): 3.8573 3.8573 7.7324
angles (deg): 90.00 90.00 90.00
With the nearest neighbours (Å) after each atom.
Positions (direct):
Ac  0.0000  0.0000  0.7594  4 As 3.30, 4 Se 3.39
As  0.5000  0.5000  0.0000  8 Ac 3.30
Se  0.5000  0.5000  0.5000  8 Ac 3.39
Ac  0.0000  0.0000  0.2406  4 As 3.30, 4 Se 3.39

=====

[8]
## Ac6AsSe5 (PBE)

Data for a relaxed Ac6AsSe5 crystal.

Results
Raw total energy (eV per atom): -5.722
Fermi-level density of states (states/eV/atom): 0.5970
Uncorrected formation energy (eV/atom): -1.829
SG: No. 12

a b c (Å): 7.7584 7.7584 7.7641
angles (deg): 99.54 99.54 120.01
With the nearest neighbours (Å) after each atom.
Positions (direct):
Ac  0.5894  0.9176  0.7536  1 As 3.12, 5 Se 3.17-3.21
Ac  0.4106  0.0824  0.2464  1 As 3.12, 5 Se 3.17-3.21
Se  0.8326  0.1674  0.5000  6 Ac 3.17-3.21
Se  0.6668  0.3332  0.0000  6 Ac 3.17
Se  0.1674  0.8326  0.5000  6 Ac 3.17-3.21
Ac  0.9176  0.5894  0.7536  1 As 3.12, 5 Se 3.17-3.21
Se  0.5000  0.5000  0.5000  6 Ac 3.17-3.21
Ac  0.0824  0.4106  0.2464  1 As 3.12, 5 Se 3.17-3.21
Ac  0.2466  0.2466  0.7532  1 As 3.12, 5 Se 3.17-3.21
As  0.0000  0.0000  0.0000  6 Ac 3.12
Ac  0.7534  0.7534  0.2468  1 As 3.12, 5 Se 3.17-3.21
Se  0.3332  0.6668  0.0000  6 Ac 3.17

=====

[9]
## AcAs2Se (PBE)

Data for a relaxed AcAs2Se crystal.

Results
Raw total energy (eV per atom): -4.934
Fermi-level density of states (states/eV/atom): 0.7303
Uncorrected formation energy (eV/atom): -0.711
SG: No. 123

a b c (Å): 4.9006 4.4591 4.4591
angles (deg): 90.00 90.00 90.00
With the nearest neighbours (Å) after each atom.
Positions (direct):
As  0.0000  0.5000  0.0000  4 As 3.15, 4 Ac 3.31, 4 Se 3.31
As  0.0000  0.0000  0.5000  4 As 3.15, 4 Ac 3.31, 4 Se 3.31
Se  0.5000  0.5000  0.5000  4 Ac 3.15, 8 As 3.31
Ac  0.5000  0.0000  0.0000  4 Se 3.15, 8 As 3.31

=====

[10]
## Ac2AsSe (PBE)

Data for a relaxed Ac2AsSe crystal.

Results
Raw total energy (eV per atom): -5.727
Fermi-level density of states (states/eV/atom): 0.6917
Uncorrected formation energy (eV/atom): -1.639
SG: No. 160
Energy above the most stable polymorph in this dataset (meV per atom): 96

a b c (Å): 4.4147 4.4147 8.2144
angles (deg): 74.41 74.41 60.00
With the nearest neighbours (Å) after each atom.
Positions (direct):
As  0.6678  0.6678  0.9967  6 Ac 3.11-3.14
Se  0.4987  0.4987  0.5038  6 Ac 3.28-3.32
Ac  0.0772  0.0772  0.7684  3 As 3.11, 3 Se 3.28
Ac  0.2563  0.2563  0.2312  3 As 3.14, 3 Se 3.32

=====

[11]
## Ac3As2Se (PBE)

Data for a relaxed Ac3As2Se crystal.

Results
Raw total energy (eV per atom): -5.855
Fermi-level density of states (states/eV/atom): 0.3269
Uncorrected formation energy (eV/atom): -1.670
SG: No. 71

a b c (Å): 4.5255 6.3982 7.8339
angles (deg): 114.10 106.79 90.00
With the nearest neighbours (Å) after each atom.
Positions (direct):
Ac  0.1717  0.6717  0.8434  4 As 3.16-3.20, 2 Se 3.25
As  0.8344  0.8344  0.1689  6 Ac 3.16-3.20
As  0.1656  0.1656  0.8311  6 Ac 3.16-3.20
Ac  0.8283  0.3283  0.1566  4 As 3.16-3.20, 2 Se 3.25
Se  0.5000  0.5000  0.5000  6 Ac 3.20-3.25
Ac  0.5000  0.0000  0.5000  4 As 3.19, 2 Se 3.20

=====

[12]
## Ac3AsSe2 (PBE)

Data for a relaxed Ac3AsSe2 crystal.

Results
Raw total energy (eV per atom): -5.778
Fermi-level density of states (states/eV/atom): 0.3931
Uncorrected formation energy (eV/atom): -1.788
SG: No. 71

a b c (Å): 4.4901 6.3426 7.8027
angles (deg): 113.98 106.72 90.00
With the nearest neighbours (Å) after each atom.
Positions (direct):
As  0.5000  0.5000  0.5000  6 Ac 3.14-3.17
Ac  0.5000  0.0000  0.5000  2 As 3.17, 4 Se 3.19
Ac  0.1617  0.6617  0.8234  2 As 3.14, 4 Se 3.17-3.22
Se  0.1675  0.1675  0.8350  6 Ac 3.17-3.22
Ac  0.8383  0.3383  0.1766  2 As 3.14, 4 Se 3.17-3.22
Se  0.8325  0.8325  0.1650  6 Ac 3.17-3.22